First-principles (SCAN) data for a PBEsol-optimized structure of KBaSr2, as listed in Alexandria.

Cell lengths 4.2756, 4.2756, 43.3987 Å; angles 90.00, 90.00, 120.00 degrees
Closest atoms and distances in Å follow each position.
Space group R-3m (No. 166, hexagonal axes)
Unique sites:
K1 0.0000 0.0000 0.0000  6 K 4.28, 6 Sr 4.47
Ba1 0.0000 0.0000 0.5000  6 Ba 4.28, 6 Sr 4.29
Sr1 0.0000 0.0000 0.2475  6 Sr 4.28, 3 Ba 4.29, 3 K 4.47

Calculated values
offset from the most stable computed form = 9 meV per atom
formation energy = 0.064 eV/atom

---

First-principles (SCAN) data for a PBEsol-optimized structure of KBaSr2, as listed in Alexandria.

Cell lengths 4.6127, 7.0101, 7.0499 Å; angles 90.00, 90.00, 90.00 degrees
Closest atoms and distances in Å follow each position.
Space group Pmmm (No. 47)
Unique sites:
K1 0.0000 0.0000 0.0000  4 Ba 4.20, 4 Sr 4.21, 2 K 4.61
Ba1 0.5000 0.5000 0.0000  4 K 4.20, 4 Sr 4.21, 2 Ba 4.61
Sr1 0.0000 0.5000 0.5000  6 Sr 4.20-4.61, 4 Ba 4.21
Sr2 0.5000 0.0000 0.5000  6 Sr 4.20-4.61, 4 K 4.21

Calculated values
offset from the most stable computed form = 39 meV per atom
formation energy = 0.094 eV/atom

---

First-principles (SCAN) data for a PBEsol-optimized structure of KBaSr2, as listed in Alexandria.

Cell lengths 9.7362, 9.7362, 9.7362 Å; angles 90.00, 90.00, 90.00 degrees
Closest atoms and distances in Å follow each position.
Space group Fm-3m (No. 225)
Unique sites:
K1 0.0000 0.0000 0.0000  8 Sr 4.22
Ba1 0.0000 0.0000 0.5000  8 Sr 4.22
Sr1 0.2500 0.2500 0.2500  4 Ba 4.22, 4 K 4.22

Calculated values
offset from the most stable computed form = 74 meV per atom
formation energy = 0.129 eV/atom

---

First-principles (SCAN) data for a PBEsol-optimized structure of KBaSr2, as listed in Alexandria.

Cell lengths 4.8736, 4.8736, 9.6502 Å; angles 90.00, 90.00, 90.00 degrees
Closest atoms and distances in Å follow each position.
Space group P4/mmm (No. 123)
Unique sites:
K1 0.0000 0.0000 0.0000  8 Sr 4.27
Ba1 0.0000 0.0000 0.5000  8 Sr 4.15
Sr1 0.5000 0.5000 0.2606  4 Ba 4.15, 4 K 4.27, 1 Sr 4.62

Calculated values
offset from the most stable computed form = 36 meV per atom
formation energy = 0.091 eV/atom

---

First-principles (SCAN) data for a PBEsol-optimized structure of KBaSr2, as listed in Alexandria.

Cell lengths 4.1613, 6.9046, 8.0627 Å; angles 90.00, 99.72, 90.00 degrees
Closest atoms and distances in Å follow each position.
Space group P2/m (No. 10)
Unique sites:
K1 0.0000 0.0000 0.0000  2 K 4.16, 4 Sr 4.20, 2 Ba 4.21
Ba1 0.5000 0.0000 0.5000  2 Ba 4.16, 2 K 4.21, 4 Sr 4.24
Sr1 0.2173 0.5000 0.7444  4 Sr 4.05-4.39, 2 K 4.20, 2 Ba 4.24

Calculated values
offset from the most stable computed form = 32 meV per atom
formation energy = 0.087 eV/atom

---

First-principles (SCAN) data for a PBEsol-optimized structure of KBaSr2, as listed in Alexandria.

Cell lengths 14.3465, 4.2428, 7.6002 Å; angles 90.00, 98.48, 90.00 degrees
Closest atoms and distances in Å follow each position.
Space group Cm (No. 8)
Unique sites:
K1 0.0000 0.0000 0.0000  2 K 4.24, 3 Ba 4.29-4.41, 7 Sr 4.32-4.38
Ba1 0.2467 0.0000 0.7418  2 Ba 4.24, 7 Sr 4.26-4.44, 3 K 4.29-4.41
Sr1 0.2499 0.5000 0.2564  5 Sr 4.24-4.30, 4 Ba 4.26-4.44, 3 K 4.33-4.37
Sr2 0.4962 0.0000 0.4943  5 Sr 4.24-4.30, 3 Ba 4.28-4.35, 4 K 4.32-4.38

Calculated values
offset from the most stable computed form = 32 meV per atom
formation energy = 0.087 eV/atom

---

First-principles (SCAN) data for a PBEsol-optimized structure of KBaSr2, as listed in Alexandria.

Cell lengths 4.8250, 4.8250, 9.8801 Å; angles 90.00, 90.00, 90.00 degrees
Closest atoms and distances in Å follow each position.
Space group P4mm (No. 99)
Unique sites:
K1 0.0000 0.0000 0.0000  4 Sr 4.26, 4 Ba 4.35
Ba1 0.5000 0.5000 0.7267  5 Sr 4.16-4.62, 4 K 4.35
Sr1 0.0000 0.0000 0.4851  4 Sr 4.08, 4 Ba 4.16
Sr2 0.5000 0.5000 0.2587  4 Sr 4.08, 4 K 4.26

Calculated values
offset from the most stable computed form = 22 meV per atom
formation energy = 0.077 eV/atom

---

First-principles (SCAN) data for a PBEsol-optimized structure of KBaSr2, as listed in Alexandria.

Cell lengths 4.6520, 6.8972, 14.1876 Å; angles 90.00, 90.00, 90.00 degrees
Closest atoms and distances in Å follow each position.
Space group Cmm2 (No. 35)
Unique sites:
K1 0.0000 0.0000 0.0000  6 K 4.16-4.65, 2 Sr 4.35, 2 Ba 4.43
Ba1 0.0000 0.5000 0.7347  2 Sr 4.13, 4 Ba 4.16, 2 K 4.43
Sr1 0.0000 0.0000 0.4942  6 Sr 4.07-4.16, 2 Ba 4.13
Sr2 0.0000 0.5000 0.2591  6 Sr 4.07-4.16, 2 K 4.35

Calculated values
offset from the most stable computed form = 0 meV per atom
formation energy = 0.055 eV/atom

---

First-principles (SCAN) data for a PBEsol-optimized structure of KBaSr2, as listed in Alexandria.

Cell lengths 8.4054, 13.7928, 4.1731 Å; angles 90.00, 109.42, 90.00 degrees
Closest atoms and distances in Å follow each position.
Space group C2/m (No. 12)
Unique sites:
K1 0.0000 0.0000 0.0000  2 K 4.17, 2 Ba 4.20, 4 Sr 4.21
Ba1 0.0000 0.5000 0.0000  2 Ba 4.17, 2 K 4.20, 4 Sr 4.21
Sr1 0.2500 0.2500 0.5000  4 Sr 4.17-4.20, 2 Ba 4.21, 2 K 4.21

Calculated values
offset from the most stable computed form = 33 meV per atom
formation energy = 0.089 eV/atom

---

First-principles (SCAN) data for a PBEsol-optimized structure of KBaTc2, as listed in Alexandria.

Cell lengths 3.0404, 5.5013, 6.9583 Å; angles 90.00, 90.12, 90.00 degrees
Closest atoms and distances in Å follow each position.
Space group P2/m (No. 10)
Unique sites:
K1 0.0000 0.0000 0.0000  2 K 3.04
Ba1 0.0000 0.0000 0.5000  2 Ba 3.04, 8 Tc 3.31
Tc1 0.4992 0.5000 0.3492  1 Tc 2.10

Calculated values
offset from the most stable computed form = 0 meV per atom
formation energy = 1.119 eV/atom

---

First-principles (SCAN) data for a PBEsol-optimized structure of KBa2Tc, as listed in Alexandria.

Cell lengths 3.8987, 3.8987, 36.6029 Å; angles 90.00, 90.00, 120.00 degrees
Closest atoms and distances in Å follow each position.
Space group R-3m (No. 166, hexagonal axes)
Unique sites:
K1 0.0000 0.0000 0.0000  6 K 3.90
Ba1 0.0000 0.0000 0.2242  3 Tc 3.08
Tc1 0.0000 0.0000 0.5000  6 Ba 3.08

Calculated values
formation energy = 0.849 eV/atom

---

First-principles (SCAN) data for a PBEsol-optimized structure of KBaTc2, as listed in Alexandria.

Cell lengths 2.8174, 2.8174, 11.2342 Å; angles 90.00, 90.00, 90.00 degrees
Closest atoms and distances in Å follow each position.
Space group P4/mmm (No. 123)
Unique sites:
K1 0.0000 0.0000 0.0000  4 K 2.82
Ba1 0.0000 0.0000 0.5000  4 Ba 2.82
Tc1 0.5000 0.5000 0.2544  4 Tc 2.82

Calculated values
offset from the most stable computed form = 481 meV per atom
formation energy = 1.600 eV/atom